# 1
The following is a PBE calculation of crystalline Pm2PrHfAs4 at its relaxed geometry, from Alexandria via LeMat-Bulk.

a b c (Å): 4.1398 7.1822 7.1721
angles (deg): 109.22 90.00 90.00
With the nearest neighbours (Å) after each atom.
Positions (direct):
Pm1 0.5000 0.0000 0.5000  6 As 2.91-2.92
Pm2 0.0000 0.5000 0.5000  6 As 3.05
Pr1 0.5000 0.5000 0.0000  6 As 2.95
Hf1 0.0000 0.0000 0.0000  6 As 2.80-2.82
As1 0.5000 0.2297 0.2324  2 Hf 2.82, 3 Pm 2.91-3.05, 1 Pr 2.95
As2 0.5000 0.7703 0.7676  2 Hf 2.82, 3 Pm 2.91-3.05, 1 Pr 2.95
As3 0.0000 0.2368 0.7575  1 Hf 2.80, 3 Pm 2.92-3.05, 2 Pr 2.95
As4 0.0000 0.7632 0.2425  1 Hf 2.80, 3 Pm 2.92-3.05, 2 Pr 2.95

Values from the calculation:
total energy	-6.712	eV per atom
formation energy from the elements	-10.87	eV per formula unit
size of the total moment	0.00	μB/f.u.
N(E_F)	0.182	states/eV/atom

=====

# 2
The following is a PBE calculation of crystalline Pm2PuHfAs4 at its relaxed geometry, from Alexandria via LeMat-Bulk.

a b c (Å): 4.0963 7.0866 7.1096
angles (deg): 109.21 90.00 90.00
With the nearest neighbours (Å) after each atom.
Positions (direct):
Pm1 0.5000 0.0000 0.5000  6 As 3.01
Pm2 0.0000 0.5000 0.5000  6 As 2.93-2.94
Pu1 0.0000 0.0000 0.0000  6 As 2.87
Hf1 0.5000 0.5000 0.0000  6 As 2.78-2.80
As1 0.5000 0.2542 0.2342  1 Hf 2.78, 2 Pu 2.87, 3 Pm 2.94-3.01
As2 0.5000 0.7458 0.7658  1 Hf 2.78, 2 Pu 2.87, 3 Pm 2.94-3.01
As3 0.0000 0.2657 0.7708  2 Hf 2.80, 1 Pu 2.87, 3 Pm 2.93-3.01
As4 0.0000 0.7343 0.2292  2 Hf 2.80, 1 Pu 2.87, 3 Pm 2.93-3.01

Values from the calculation:
total energy	-7.816	eV per atom
formation energy from the elements	-10.14	eV per formula unit
size of the total moment	5.21	μB/f.u.
N(E_F)	1.557	states/eV/atom

=====

# 3
The following is a PBE calculation of crystalline Pm2HfAs3Rh4 at its relaxed geometry, from Alexandria via LeMat-Bulk.

a b c (Å): 4.1144 4.1144 11.1481
angles (deg): 90.00 90.00 90.00
With the nearest neighbours (Å) after each atom.
Positions (direct):
Pm1 0.5000 0.0000 0.2248  4 As 3.08, 8 Rh 3.24-3.25
Pm2 0.0000 0.5000 0.7752  4 As 3.08, 8 Rh 3.24-3.25
Hf1 0.5000 0.5000 0.5000  4 Rh 2.61, 4 As 2.91
As1 0.0000 0.0000 0.5000  4 Rh 2.61, 4 Hf 2.91
As2 0.5000 0.0000 0.8653  5 Rh 2.46-2.55
As3 0.0000 0.5000 0.1347  5 Rh 2.46-2.55
Rh1 0.5000 0.5000 0.0000  4 As 2.55
Rh2 0.0000 0.0000 0.0000  4 As 2.55
Rh3 0.5000 0.0000 0.6443  3 As 2.46-2.61, 2 Hf 2.61
Rh4 0.0000 0.5000 0.3557  3 As 2.46-2.61, 2 Hf 2.61

Values from the calculation:
total energy	-7.248	eV per atom
formation energy from the elements	-9.67	eV per formula unit
size of the total moment	0.00	μB/f.u.
N(E_F)	0.546	states/eV/atom

=====

# 4
The following is a PBE calculation of crystalline PmHfAs2Rh5 at its relaxed geometry, from Alexandria via LeMat-Bulk.

a b c (Å): 4.0861 4.0861 10.7735
angles (deg): 90.00 90.00 90.00
With the nearest neighbours (Å) after each atom.
Positions (direct):
Pm1 0.0000 0.0000 0.5000  4 Rh 2.89
Hf1 0.0000 0.0000 0.0000  8 Rh 2.70
As1 0.5000 0.5000 0.2794  5 Rh 2.38-2.39
As2 0.5000 0.5000 0.7206  5 Rh 2.38-2.39
Rh1 0.0000 0.5000 0.1640  2 As 2.39
Rh2 0.5000 0.0000 0.1640  2 As 2.39
Rh3 0.0000 0.5000 0.8360  2 As 2.39
Rh4 0.5000 0.0000 0.8360  2 As 2.39
Rh5 0.5000 0.5000 0.5000  2 As 2.38

Values from the calculation:
total energy	-7.348	eV per atom
formation energy from the elements	-5.37	eV per formula unit
size of the total moment	0.00	μB/f.u.
N(E_F)	0.420	states/eV/atom

=====

# 5
The following is a PBE calculation of crystalline Pm2HfScAs4 at its relaxed geometry, from Alexandria via LeMat-Bulk.

a b c (Å): 4.0344 6.9809 7.0062
angles (deg): 109.32 90.00 90.00
With the nearest neighbours (Å) after each atom.
Positions (direct):
Pm1 0.5000 0.0000 0.5000  6 As 2.96
Pm2 0.0000 0.5000 0.5000  6 As 2.94-2.95
Hf1 0.5000 0.5000 0.0000  6 As 2.75-2.76
Sc1 0.0000 0.0000 0.0000  6 As 2.77
As1 0.5000 0.2440 0.2257  1 Hf 2.75, 2 Sc 2.77, 3 Pm 2.95-2.96
As2 0.5000 0.7560 0.7743  1 Hf 2.75, 2 Sc 2.77, 3 Pm 2.95-2.96
As3 0.0000 0.2597 0.7747  2 Hf 2.76, 1 Sc 2.77, 3 Pm 2.94-2.96
As4 0.0000 0.7403 0.2253  2 Hf 2.76, 1 Sc 2.77, 3 Pm 2.94-2.96

Values from the calculation:
total energy	-6.907	eV per atom
formation energy from the elements	-10.88	eV per formula unit
size of the total moment	0.00	μB/f.u.
N(E_F)	0.176	states/eV/atom

=====

# 6
The following is a PBE calculation of crystalline Sr2PmHfAs4 at its relaxed geometry, from Alexandria via LeMat-Bulk.

a b c (Å): 4.1664 7.2558 7.5419
angles (deg): 108.38 90.00 90.00
With the nearest neighbours (Å) after each atom.
Positions (direct):
Sr1 0.5000 0.0000 0.5000  6 As 3.07-3.08
Sr2 0.0000 0.5000 0.5000  6 As 3.22-3.23
Pm1 0.5000 0.5000 0.0000  6 As 2.95-2.96
Hf1 0.0000 0.0000 0.0000  6 As 2.77-2.81
As1 0.5000 0.2210 0.2134  2 Hf 2.81, 1 Pm 2.96, 1 Sr 3.07
As2 0.5000 0.7790 0.7866  2 Hf 2.81, 1 Pm 2.96, 1 Sr 3.07
As3 0.0000 0.2406 0.7785  1 Hf 2.77, 2 Pm 2.95, 2 Sr 3.08
As4 0.0000 0.7594 0.2215  1 Hf 2.77, 2 Pm 2.95, 2 Sr 3.08

Values from the calculation:
total energy	-5.727	eV per atom
formation energy from the elements	-9.15	eV per formula unit
size of the total moment	0.00	μB/f.u.
N(E_F)	0.536	states/eV/atom

=====

# 7
The following is a PBE calculation of crystalline Sr3Pm2HfAs6 at its relaxed geometry, from Alexandria via LeMat-Bulk.

a b c (Å): 7.3271 7.3271 7.5930
angles (deg): 99.30 99.30 120.11
With the nearest neighbours (Å) after each atom.
Positions (direct):
Sr1 0.1716 0.8284 0.5000  6 As 3.11-3.23
Sr2 0.8284 0.1716 0.5000  6 As 3.11-3.23
Sr3 0.5000 0.5000 0.5000  6 As 3.11-3.28
Pm1 0.3341 0.6659 0.0000  6 As 2.98
Pm2 0.6659 0.3341 0.0000  6 As 2.98
Hf1 0.0000 0.0000 0.0000  6 As 2.79
As1 0.9268 0.6133 0.7797  1 Hf 2.79, 2 Pm 2.98, 2 Sr 3.11
As2 0.7625 0.7625 0.2226  1 Hf 2.79, 2 Pm 2.98
As3 0.0732 0.3867 0.2203  1 Hf 2.79, 2 Pm 2.98, 2 Sr 3.11
As4 0.6133 0.9268 0.7797  1 Hf 2.79, 2 Pm 2.98, 2 Sr 3.11
As5 0.2375 0.2375 0.7774  1 Hf 2.79, 2 Pm 2.98
As6 0.3867 0.0732 0.2203  1 Hf 2.79, 2 Pm 2.98, 2 Sr 3.11

Values from the calculation:
total energy	-5.527	eV per atom
formation energy from the elements	-13.92	eV per formula unit
size of the total moment	0.00	μB/f.u.
N(E_F)	0.695	states/eV/atom

=====

# 8
The following is a PBE calculation of crystalline Tb2PmHfAs4 at its relaxed geometry, from Alexandria via LeMat-Bulk.

a b c (Å): 4.0734 7.0643 7.0534
angles (deg): 109.25 90.00 90.00
With the nearest neighbours (Å) after each atom.
Positions (direct):
Tb1 0.5000 0.0000 0.5000  6 As 2.86
Tb2 0.0000 0.5000 0.5000  6 As 2.97
Pm1 0.5000 0.5000 0.0000  6 As 2.90-2.91
Hf1 0.0000 0.0000 0.0000  6 As 2.79-2.80
As1 0.5000 0.2339 0.2380  2 Hf 2.80, 3 Tb 2.86-2.97, 1 Pm 2.90
As2 0.5000 0.7661 0.7620  2 Hf 2.80, 3 Tb 2.86-2.97, 1 Pm 2.90
As3 0.0000 0.2381 0.7534  1 Hf 2.79, 3 Tb 2.86-2.97, 2 Pm 2.91
As4 0.0000 0.7619 0.2466  1 Hf 2.79, 3 Tb 2.86-2.97, 2 Pm 2.91

Values from the calculation:
total energy	-6.704	eV per atom
formation energy from the elements	-11.07	eV per formula unit
size of the total moment	0.00	μB/f.u.
N(E_F)	0.179	states/eV/atom

=====

# 9
The following is a PBE calculation of crystalline Pm2TmHfAs4 at its relaxed geometry, from Alexandria via LeMat-Bulk.

a b c (Å): 4.0749 7.0610 7.0769
angles (deg): 109.26 90.00 90.00
With the nearest neighbours (Å) after each atom.
Positions (direct):
Pm1 0.5000 0.0000 0.5000  6 As 2.93
Pm2 0.0000 0.5000 0.5000  6 As 2.99
Tm1 0.5000 0.5000 0.0000  6 As 2.84-2.85
Hf1 0.0000 0.0000 0.0000  6 As 2.77-2.79
As1 0.5000 0.2359 0.2285  2 Hf 2.79, 1 Tm 2.84, 3 Pm 2.93-2.99
As2 0.5000 0.7641 0.7715  2 Hf 2.79, 1 Tm 2.84, 3 Pm 2.93-2.99
As3 0.0000 0.2481 0.7671  1 Hf 2.77, 2 Tm 2.85, 3 Pm 2.93-2.99
As4 0.0000 0.7519 0.2329  1 Hf 2.77, 2 Tm 2.85, 3 Pm 2.93-2.99

Values from the calculation:
total energy	-6.704	eV per atom
formation energy from the elements	-11.11	eV per formula unit
size of the total moment	0.00	μB/f.u.
N(E_F)	0.175	states/eV/atom

=====

# 10
The following is a PBE calculation of crystalline PmTm2HfAs4 at its relaxed geometry, from Alexandria via LeMat-Bulk.

a b c (Å): 4.0364 7.0031 6.9849
angles (deg): 109.25 90.00 90.00
With the nearest neighbours (Å) after each atom.
Positions (direct):
Pm1 0.5000 0.5000 0.0000  6 As 2.90
Tm1 0.5000 0.0000 0.5000  6 As 2.81-2.82
Tm2 0.0000 0.5000 0.5000  6 As 2.92
Hf1 0.0000 0.0000 0.0000  6 As 2.79-2.80
As1 0.5000 0.2358 0.2433  2 Hf 2.80, 3 Tm 2.81-2.92, 1 Pm 2.90
As2 0.5000 0.7642 0.7567  2 Hf 2.80, 3 Tm 2.81-2.92, 1 Pm 2.90
As3 0.0000 0.2367 0.7480  1 Hf 2.79, 3 Tm 2.82-2.92, 2 Pm 2.90
As4 0.0000 0.7633 0.2520  1 Hf 2.79, 3 Tm 2.82-2.92, 2 Pm 2.90

Values from the calculation:
total energy	-6.642	eV per atom
formation energy from the elements	-10.89	eV per formula unit
size of the total moment	0.00	μB/f.u.
N(E_F)	0.172	states/eV/atom

=====

# 11
The following is a PBE calculation of crystalline Pm2YHfAs4 at its relaxed geometry, from Alexandria via LeMat-Bulk.

a b c (Å): 4.0906 7.0898 7.0999
angles (deg): 109.26 90.00 90.00
With the nearest neighbours (Å) after each atom.
Positions (direct):
Pm1 0.5000 0.0000 0.5000  6 As 3.01
Pm2 0.0000 0.5000 0.5000  6 As 2.92-2.93
Y1 0.0000 0.0000 0.0000  6 As 2.87
Hf1 0.5000 0.5000 0.0000  6 As 2.78-2.80
As1 0.5000 0.2550 0.2356  1 Hf 2.78, 2 Y 2.87, 3 Pm 2.93-3.01
As2 0.5000 0.7450 0.7644  1 Hf 2.78, 2 Y 2.87, 3 Pm 2.93-3.01
As3 0.0000 0.2657 0.7703  2 Hf 2.80, 1 Y 2.87, 3 Pm 2.92-3.01
As4 0.0000 0.7343 0.2297  2 Hf 2.80, 1 Y 2.87, 3 Pm 2.92-3.01

Values from the calculation:
total energy	-6.962	eV per atom
formation energy from the elements	-11.18	eV per formula unit
size of the total moment	0.00	μB/f.u.
N(E_F)	0.180	states/eV/atom

=====

# 12
The following is a PBE calculation of crystalline PmY2HfAs4 at its relaxed geometry, from Alexandria via LeMat-Bulk.

a b c (Å): 4.0665 7.0530 7.0412
angles (deg): 109.24 90.00 90.00
With the nearest neighbours (Å) after each atom.
Positions (direct):
Pm1 0.5000 0.5000 0.0000  6 As 2.90-2.91
Y1 0.5000 0.0000 0.5000  6 As 2.85
Y2 0.0000 0.5000 0.5000  6 As 2.96
Hf1 0.0000 0.0000 0.0000  6 As 2.79-2.80
As1 0.5000 0.2340 0.2387  2 Hf 2.80, 3 Y 2.85-2.96, 1 Pm 2.90
As2 0.5000 0.7660 0.7613  2 Hf 2.80, 3 Y 2.85-2.96, 1 Pm 2.90
As3 0.0000 0.2378 0.7526  1 Hf 2.79, 3 Y 2.85-2.96, 2 Pm 2.91
As4 0.0000 0.7622 0.2474  1 Hf 2.79, 3 Y 2.85-2.96, 2 Pm 2.91

Values from the calculation:
total energy	-7.168	eV per atom
formation energy from the elements	-11.11	eV per formula unit
size of the total moment	0.00	μB/f.u.
N(E_F)	0.180	states/eV/atom

=====

What did the ninth record say?
The following is a PBE calculation of crystalline Pm2TmHfAs4 at its relaxed geometry, from Alexandria via LeMat-Bulk.

a b c (Å): 4.0749 7.0610 7.0769
angles (deg): 109.26 90.00 90.00
With the nearest neighbours (Å) after each atom.
Positions (direct):
Pm1 0.5000 0.0000 0.5000  6 As 2.93
Pm2 0.0000 0.5000 0.5000  6 As 2.99
Tm1 0.5000 0.5000 0.0000  6 As 2.84-2.85
Hf1 0.0000 0.0000 0.0000  6 As 2.77-2.79
As1 0.5000 0.2359 0.2285  2 Hf 2.79, 1 Tm 2.84, 3 Pm 2.93-2.99
As2 0.5000 0.7641 0.7715  2 Hf 2.79, 1 Tm 2.84, 3 Pm 2.93-2.99
As3 0.0000 0.2481 0.7671  1 Hf 2.77, 2 Tm 2.85, 3 Pm 2.93-2.99
As4 0.0000 0.7519 0.2329  1 Hf 2.77, 2 Tm 2.85, 3 Pm 2.93-2.99

Values from the calculation:
total energy	-6.704	eV per atom
formation energy from the elements	-11.11	eV per formula unit
size of the total moment	0.00	μB/f.u.
N(E_F)	0.175	states/eV/atom